[1]
# Y2TlReO8 (PBE, optimized geometry)
# **Final energy**: -187.31 eV for the cell shown
# **Formation energy without anion corrections**: -2.19 eV/atom
data_Y2TlReO8
_chemical_formula_sum 'Y4 Tl2 Re2 O16'
_symmetry_space_group_name_H-M 'C m m m'
_symmetry_Int_Tables_number 65
_symmetry_space_group_name_Hall '-C 2 2'
_cell_length_a 6.8001
_cell_length_b 7.1518
_cell_length_c 7.0873
_cell_angle_alpha 90.00
_cell_angle_beta 90.00
_cell_angle_gamma 90.00
loop_
_atom_site_label
_atom_site_type_symbol
_atom_site_fract_x
_atom_site_fract_y
_atom_site_fract_z
_atom_site_occupancy
Y1 Y 0.0000 0.0000 0.2441 1
Tl1 Tl 0.0000 0.5000 0.5000 1
Re1 Re 0.0000 0.5000 0.0000 1
O1 O 0.0000 0.3163 0.1930 1
O2 O 0.1998 0.0000 0.5000 1
O3 O 0.2185 0.0000 0.0000 1

---

[2]
# YTl2ReO6 (PBE, optimized geometry)
# **Final energy**: -70.19 eV for the cell shown
# **Formation energy without anion corrections**: -1.68 eV/atom
data_YTl2ReO6
_chemical_formula_sum 'Y1 Tl2 Re1 O6'
_symmetry_space_group_name_H-M 'P -3 m 1'
_symmetry_Int_Tables_number 164
_symmetry_space_group_name_Hall '-P 3 2"'
_cell_length_a 6.5470
_cell_length_b 6.5470
_cell_length_c 5.8343
_cell_angle_alpha 90.00
_cell_angle_beta 90.00
_cell_angle_gamma 120.00
loop_
_atom_site_label
_atom_site_type_symbol
_atom_site_fract_x
_atom_site_fract_y
_atom_site_fract_z
_atom_site_occupancy
Y1 Y 0.0000 0.0000 0.0000 1
Tl1 Tl 0.3333 0.6667 0.4750 1
Re1 Re 0.0000 0.0000 0.5000 1
O1 O 0.1333 0.2667 0.7010 1

---

[3]
# YTl2Re3O12 (PBE, optimized geometry)
# **Final energy**: -415.67 eV for the cell shown
# **Formation energy without anion corrections**: -1.70 eV/atom
data_YTl2Re3O12
_chemical_formula_sum 'Y3 Tl6 Re9 O36'
_symmetry_space_group_name_H-M 'R -3 m'
_symmetry_Int_Tables_number 166
_symmetry_space_group_name_Hall '-R 3 2"'
_cell_length_a 7.4057
_cell_length_b 7.4057
_cell_length_c 18.9151
_cell_angle_alpha 90.00
_cell_angle_beta 90.00
_cell_angle_gamma 120.00
loop_
_atom_site_label
_atom_site_type_symbol
_atom_site_fract_x
_atom_site_fract_y
_atom_site_fract_z
_atom_site_occupancy
Y1 Y 0.0000 0.0000 0.0000 1
Tl1 Tl 0.0000 0.0000 0.3409 1
Re1 Re 0.0000 0.5000 0.5000 1
O1 O 0.0450 0.5225 0.5975 1
O2 O 0.0881 0.5440 0.8446 1

---

[4]
# ZrTl2Re3O12 (PBE, optimized geometry)
# **Final energy**: -422.00 eV for the cell shown
# **Formation energy without anion corrections**: -1.70 eV/atom
data_ZrTl2Re3O12
_chemical_formula_sum 'Zr3 Tl6 Re9 O36'
_symmetry_space_group_name_H-M 'R -3 m'
_symmetry_Int_Tables_number 166
_symmetry_space_group_name_Hall '-R 3 2"'
_cell_length_a 7.3526
_cell_length_b 7.3526
_cell_length_c 18.5865
_cell_angle_alpha 90.00
_cell_angle_beta 90.00
_cell_angle_gamma 120.00
loop_
_atom_site_label
_atom_site_type_symbol
_atom_site_fract_x
_atom_site_fract_y
_atom_site_fract_z
_atom_site_occupancy
Zr1 Zr 0.0000 0.0000 0.0000 1
Tl1 Tl 0.0000 0.0000 0.4041 1
Re1 Re 0.0000 0.5000 0.5000 1
O1 O 0.0721 0.5361 0.5975 1
O2 O 0.0787 0.5394 0.8501 1

---

[5]
# TmReO4 (PBE, optimized geometry)
# **Excess energy over the best structure of this formula in the dataset**: 0.168 eV/atom
# **Final energy**: -200.42 eV for the cell shown
# **Formation energy without anion corrections**: -2.23 eV/atom
data_TmReO4
_chemical_formula_sum 'Tm4 Re4 O16'
_symmetry_space_group_name_H-M 'C c c m'
_symmetry_Int_Tables_number 66
_symmetry_space_group_name_Hall '-C 2 2c'
_cell_length_a 5.9488
_cell_length_b 9.9272
_cell_length_c 6.3052
_cell_angle_alpha 90.00
_cell_angle_beta 90.00
_cell_angle_gamma 90.00
loop_
_atom_site_label
_atom_site_type_symbol
_atom_site_fract_x
_atom_site_fract_y
_atom_site_fract_z
_atom_site_occupancy
Tm1 Tm 0.2500 0.2500 0.0000 1
Re1 Re 0.0000 0.0000 0.2500 1
O1 O 0.0000 0.1954 0.2500 1
O2 O 0.2089 0.0272 0.0000 1

---

[6]
# Tm2ReO6 (PBE, optimized geometry)
# **Final energy**: -150.26 eV for the cell shown
# **Formation energy without anion corrections**: -2.67 eV/atom
data_Tm2ReO6
_chemical_formula_sum 'Tm4 Re2 O12'
_symmetry_space_group_name_H-M 'P 1 21/c 1'
_symmetry_Int_Tables_number 14
_cell_length_a 5.3961
_cell_length_b 5.6016
_cell_length_c 9.0777
_cell_angle_alpha 90.00
_cell_angle_beta 119.35
_cell_angle_gamma 90.00
loop_
_symmetry_equiv_pos_as_xyz
'x,y,z'
'-x,-y,-z'
'-x,y+1/2,-z+1/2'
'x,-y+1/2,z+1/2'
loop_
_atom_site_label
_atom_site_type_symbol
_atom_site_fract_x
_atom_site_fract_y
_atom_site_fract_z
_atom_site_occupancy
Tm1 Tm 0.1863 0.0833 0.2283 1
Re1 Re 0.5000 0.0000 0.0000 1
O1 O 0.1538 0.1798 0.9472 1
O2 O 0.2516 0.7300 0.8953 1
O3 O 0.4571 0.0931 0.7850 1

---

[7]
# Tm2ReO8 (PBE, optimized geometry)
# **Final energy**: -161.19 eV for the cell shown
# **Formation energy without anion corrections**: -1.78 eV/atom
data_Tm2ReO8
_chemical_formula_sum 'Tm4 Re2 O16'
_symmetry_space_group_name_H-M 'C 1 2/m 1'
_symmetry_Int_Tables_number 12
_cell_length_a 13.7824
_cell_length_b 3.5995
_cell_length_c 5.2176
_cell_angle_alpha 90.00
_cell_angle_beta 110.64
_cell_angle_gamma 90.00
loop_
_symmetry_equiv_pos_as_xyz
'x,y,z'
'-x,-y,-z'
'-x,y,-z'
'x,-y,z'
'x+1/2,y+1/2,z'
'-x+1/2,-y+1/2,-z'
'-x+1/2,y+1/2,-z'
'x+1/2,-y+1/2,z'
loop_
_atom_site_label
_atom_site_type_symbol
_atom_site_fract_x
_atom_site_fract_y
_atom_site_fract_z
_atom_site_occupancy
Tm1 Tm 0.1781 0.0000 0.1875 1
Re1 Re 0.0000 0.5000 0.5000 1
O1 O 0.0484 0.0000 0.3752 1
O2 O 0.0753 0.5000 0.8697 1
O3 O 0.1515 0.5000 0.4699 1
O4 O 0.2262 0.0000 0.8259 1

---

[8]
# TmReO4 (PBE, optimized geometry)
# **Excess energy over the best structure of this formula in the dataset**: 0.000 eV/atom
# **Final energy**: -204.45 eV for the cell shown
# **Formation energy without anion corrections**: -2.39 eV/atom
data_TmReO4
_chemical_formula_sum 'Tm4 Re4 O16'
_symmetry_space_group_name_H-M 'P 1 21/c 1'
_symmetry_Int_Tables_number 14
_cell_length_a 7.9424
_cell_length_b 5.2920
_cell_length_c 7.4603
_cell_angle_alpha 90.00
_cell_angle_beta 102.77
_cell_angle_gamma 90.00
loop_
_symmetry_equiv_pos_as_xyz
'x,y,z'
'-x,-y,-z'
'-x,y+1/2,-z+1/2'
'x,-y+1/2,z+1/2'
loop_
_atom_site_label
_atom_site_type_symbol
_atom_site_fract_x
_atom_site_fract_y
_atom_site_fract_z
_atom_site_occupancy
Tm1 Tm 0.1112 0.2216 0.3983 1
Re1 Re 0.3319 0.7460 0.2065 1
O1 O 0.1237 0.9998 0.6807 1
O2 O 0.1452 0.5018 0.6272 1
O3 O 0.3093 0.6363 0.9509 1
O4 O 0.4920 0.0154 0.7872 1

---

[9]
# Tm5Re2O12 (PBE, optimized geometry)
# **Final energy**: -325.78 eV for the cell shown
# **Formation energy without anion corrections**: -2.95 eV/atom
data_Tm5Re2O12
_chemical_formula_sum 'Tm10 Re4 O24'
_symmetry_space_group_name_H-M 'C 1 2/m 1'
_symmetry_Int_Tables_number 12
_cell_length_a 12.2828
_cell_length_b 5.6229
_cell_length_c 7.4473
_cell_angle_alpha 90.00
_cell_angle_beta 107.89
_cell_angle_gamma 90.00
loop_
_symmetry_equiv_pos_as_xyz
'x,y,z'
'-x,-y,-z'
'-x,y,-z'
'x,-y,z'
'x+1/2,y+1/2,z'
'-x+1/2,-y+1/2,-z'
'-x+1/2,y+1/2,-z'
'x+1/2,-y+1/2,z'
loop_
_atom_site_label
_atom_site_type_symbol
_atom_site_fract_x
_atom_site_fract_y
_atom_site_fract_z
_atom_site_occupancy
Tm1 Tm 0.0000 0.0000 0.0000 1
Tm2 Tm 0.1856 0.5000 0.3225 1
Tm3 Tm 0.1978 0.5000 0.8594 1
Re1 Re 0.0000 0.2151 0.5000 1
O1 O 0.0007 0.5000 0.6809 1
O2 O 0.0023 0.0000 0.2918 1
O3 O 0.1536 0.2522 0.0725 1
O4 O 0.1674 0.2544 0.5873 1

---

[10]
# TmReO6 (PBE, optimized geometry)
# **Final energy**: -119.21 eV for the cell shown
# **Formation energy without anion corrections**: -1.62 eV/atom
data_TmReO6
_chemical_formula_sum 'Tm2 Re2 O12'
_symmetry_space_group_name_H-M 'C 1 2/m 1'
_symmetry_Int_Tables_number 12
_cell_length_a 5.5585
_cell_length_b 6.5879
_cell_length_c 5.0295
_cell_angle_alpha 90.00
_cell_angle_beta 99.44
_cell_angle_gamma 90.00
loop_
_symmetry_equiv_pos_as_xyz
'x,y,z'
'-x,-y,-z'
'-x,y,-z'
'x,-y,z'
'x+1/2,y+1/2,z'
'-x+1/2,-y+1/2,-z'
'-x+1/2,y+1/2,-z'
'x+1/2,-y+1/2,z'
loop_
_atom_site_label
_atom_site_type_symbol
_atom_site_fract_x
_atom_site_fract_y
_atom_site_fract_z
_atom_site_occupancy
Tm1 Tm 0.0000 0.0000 0.0000 1
Re1 Re 0.0000 0.5000 0.5000 1
O1 O 0.1481 0.3107 0.7608 1
O2 O 0.2176 0.0000 0.6647 1